Here is crystalline ZrCrP at its relaxed geometry from the Alexandria database. Energies are from GGA-PBE.

Computed properties:
Space-group type   F-43m (216)
VASP energy   -22.4 eV/cell
Formation enthalpy at 0 K   0.378 eV per atom

Structure (extended XYZ):
```
3
Lattice="0.000 3.114 3.114 3.114 0.000 3.114 3.114 3.114 0.000" Properties=species:S:1:pos:R:3 pbc="T T T"
Zr 0.000 0.000 0.000
Cr 4.671 4.671 4.671
P 1.557 1.557 1.557
```

Here is crystalline ZrCrP2 at its relaxed geometry from the Alexandria database. Energies are from GGA-PBE.

Computed properties:
Distance to the lowest polymorph of the same formula   331.5 meV/atom
Space-group type   Cmmm (65)
VASP energy   -30.7 eV/cell
Formation enthalpy at 0 K   -0.439 eV per atom

Structure (extended XYZ):
```
4
Lattice="1.891 -2.504 0.000 1.891 2.504 0.000 0.000 0.000 6.603" Properties=species:S:1:pos:R:3 pbc="T T T"
Zr 0.000 0.000 0.000
Cr 0.000 0.000 3.302
P 1.891 0.000 1.817
P 1.891 0.000 4.786
```

Here is crystalline ZrCrP2 at its relaxed geometry from the Alexandria database. Energies are from GGA-PBE.

Computed properties:
Distance to the lowest polymorph of the same formula   790.3 meV/atom
Space-group type   F-43m (216)
VASP energy   -28.9 eV/cell
Formation enthalpy at 0 K   0.020 eV per atom

Structure (extended XYZ):
```
4
Lattice="0.000 3.091 3.091 3.091 0.000 3.091 3.091 3.091 0.000" Properties=species:S:1:pos:R:3 pbc="T T T"
Zr 0.000 0.000 0.000
Cr 4.637 4.637 4.637
P 1.546 1.546 1.546
P 3.091 3.091 3.091
```